DFT (PBE) results for a geometry-optimized NdY3Co8 structure.

POSCAR file:
```
NdY3Co8
1.0
4.888 0.000 1.476
2.221 4.354 1.476
-0.005 -0.003 8.853
Nd Y Co
1 3 8
Direct
0.875 0.875 0.376 Nd
0.375 0.375 0.874 Y
0.000 0.000 0.000 Y
0.500 0.500 0.500 Y
0.941 0.438 0.184 Co
0.433 0.938 0.691 Co
0.438 0.438 0.184 Co
0.938 0.938 0.691 Co
0.187 0.187 0.439 Co
0.688 0.688 0.937 Co
0.438 0.941 0.184 Co
0.938 0.433 0.691 Co
```

Values from the calculation:
Volume = 15.707 Å³/atom
Energy of formation = -139.1 meV per atom